{
  "formula": "PmGdCuAg",
  "functional": "GGA-PBE",
  "state": "relaxed",
  "lattice_angstrom": [[-1.5559, 2.6929, 4.0855], [-2.2122, -2.3981, 3.9648], [2.5035, -0.4285, 4.4624]],
  "species": ["Cu", "Ag", "Gd", "Pm"],
  "frac_coords": [[0.5000, 0.5000, 0.5000], [0.0000, 0.0000, 0.0000], [0.7500, 0.7500, 0.7500], [0.2500, 0.2500, 0.2500]],
  "formation_enthalpy_0k_kj_per_mol_fu": -84,
  "density_g_cm3": 8.217,
  "magnetic_moment_mub_per_cell": 7.3,
  "spacegroup": "No. 216"
}